Density functional theory data (GGA+U) for a geometry-optimized Li3V2P4H2O16 structure.

Cell and atoms, written as POSCAR:
```
Li3V2P4H2O16
1.0
7.904 0.000 0.000
0.000 8.075 0.000
-3.708 0.000 9.023
Li V P H O
6 4 8 4 32
Direct
0.096 0.000 0.225
0.098 0.980 0.725
0.400 0.730 0.778
0.600 0.230 0.222
0.902 0.480 0.275
0.904 0.500 0.775
0.253 0.362 0.251
0.258 0.351 0.750
0.742 0.851 0.250
0.747 0.862 0.749
0.012 0.710 0.072
0.018 0.698 0.565
0.480 0.009 0.935
0.489 0.005 0.428
0.511 0.505 0.572
0.520 0.509 0.065
0.982 0.198 0.435
0.988 0.210 0.928
0.234 0.849 0.016
0.268 0.863 0.487
0.732 0.363 0.513
0.766 0.349 0.984
0.057 0.544 0.154
0.067 0.525 0.640
0.089 0.297 0.358
0.096 0.320 0.856
0.102 0.189 0.095
0.105 0.178 0.603
0.189 0.814 0.100
0.196 0.795 0.591
0.302 0.920 0.404
0.305 0.907 0.906
0.392 0.523 0.408
0.398 0.527 0.896
0.404 0.393 0.644
0.412 0.416 0.142
0.426 0.186 0.872
0.442 0.168 0.341
0.558 0.668 0.659
0.574 0.686 0.128
0.588 0.916 0.858
0.596 0.893 0.356
0.602 0.027 0.104
0.608 0.023 0.592
0.695 0.407 0.094
0.698 0.420 0.596
0.804 0.295 0.409
0.811 0.314 0.900
0.895 0.678 0.397
0.898 0.689 0.905
0.904 0.820 0.144
0.911 0.797 0.642
0.933 0.025 0.360
0.943 0.044 0.846
```

Energy   -185.531 eV per formula unit